The following is a GGA-PBE calculation of KPaS2O6 after structural relaxation, from Alexandria.

a = 5.4459 Å, b = 5.4459 Å, c = 20.5865 Å
α = 90.00°, β = 90.00°, γ = 120.00°
Space group R-3 (No. 148, hexagonal axes)
Unique sites:
K1 0.0000 0.0000 0.0000 [3 per cell]
Pa1 0.0000 0.0000 0.5000 [3 per cell]
S1 0.0000 0.0000 0.2672 [6 per cell]
O1 0.0435 0.2807 0.2363 [18 per cell]

Calculated values
Uncorrected energy, eV per atom: -6.58



The following is a GGA-PBE calculation of K2PaSb2O7 after structural relaxation, from Alexandria.

a = 6.5686 Å, b = 6.5686 Å, c = 19.2207 Å
α = 90.00°, β = 90.00°, γ = 120.00°
Space group R-3m (No. 166, hexagonal axes)
Unique sites:
K1 0.0000 0.0000 0.1919 [6 per cell]
Pa1 0.0000 0.0000 0.0000 [3 per cell]
Sb1 0.0000 0.0000 0.3985 [6 per cell]
O1 0.0000 0.0000 0.5000 [3 per cell]
O2 0.0291 0.5146 0.7358 [18 per cell]

Calculated values
Uncorrected energy, eV per atom: -6.54



Look up the uncorrected energy of the first one.
-6.58 eV per atom